[1]
VASP calculation (PBE-GGA) on a relaxed structure of VIn2GaRu.

Formation energy: 6.599 eV per formula unit
E above lowest polymorph: 33.3 kJ/mol of formula units

Cell and atoms, written as CIF:
```
data_VIn2GaRu
_chemical_formula_sum 'V1 In2 Ga1 Ru1'
_symmetry_space_group_name_H-M 'P 1'
_symmetry_Int_Tables_number 1
_symmetry_space_group_name_Hall 'P 1'
_cell_length_a 4.923
_cell_length_b 4.602
_cell_length_c 4.923
_cell_angle_alpha 90.00
_cell_angle_beta 90.00
_cell_angle_gamma 90.00
loop_
_atom_site_label
_atom_site_type_symbol
_atom_site_fract_x
_atom_site_fract_y
_atom_site_fract_z
Ga1 Ga 0.000 0.000 0.000
In1 In 0.500 0.000 0.000
In2 In 0.000 0.000 0.500
V1 V 0.000 0.500 0.000
Ru1 Ru 0.500 0.500 0.500
```

=====

[2]
VASP calculation (PBE-GGA) on a relaxed structure of KZn2CdB2O6F.

Formation energy without anion corrections: -26.006 eV per formula unit

Cell and atoms, written as CIF:
```
data_KZn2CdB2O6F
_chemical_formula_sum 'K2 Zn4 Cd2 B4 O12 F2'
_symmetry_space_group_name_H-M 'P 1'
_symmetry_Int_Tables_number 1
_symmetry_space_group_name_Hall 'P 1'
_cell_length_a 5.087
_cell_length_b 5.087
_cell_length_c 15.472
_cell_angle_alpha 90.00
_cell_angle_beta 90.00
_cell_angle_gamma 120.00
loop_
_atom_site_label
_atom_site_type_symbol
_atom_site_fract_x
_atom_site_fract_y
_atom_site_fract_z
O1 O 0.319 0.932 0.905
O2 O 0.613 0.932 0.595
O3 O 0.387 0.068 0.405
O4 O 0.932 0.613 0.095
O5 O 0.068 0.387 0.905
O6 O 0.681 0.068 0.095
O7 O 0.681 0.613 0.405
O8 O 0.613 0.681 0.905
O9 O 0.068 0.681 0.595
O10 O 0.932 0.319 0.405
O11 O 0.387 0.319 0.095
O12 O 0.319 0.387 0.595
Cd1 Cd 0.000 0.000 0.500
Cd2 Cd 0.000 0.000 0.000
B1 B 0.667 0.333 0.405
B2 B 0.333 0.667 0.595
B3 B 0.667 0.333 0.095
B4 B 0.333 0.667 0.905
Zn1 Zn 0.333 0.667 0.383
Zn2 Zn 0.667 0.333 0.883
Zn3 Zn 0.667 0.333 0.617
Zn4 Zn 0.333 0.667 0.117
K1 K 0.000 0.000 0.250
K2 K 0.000 0.000 0.750
F1 F 0.667 0.333 0.750
F2 F 0.333 0.667 0.250
```

=====

[3]
VASP calculation (PBE-GGA) on a relaxed structure of BeRuBr.

Formation energy without anion corrections: 1.473 eV per formula unit
E above lowest polymorph: 0.0 kJ/mol of formula units

Cell and atoms, written as CIF:
```
data_BeRuBr
_chemical_formula_sum 'Be1 Ru1 Br1'
_symmetry_space_group_name_H-M 'P 1'
_symmetry_Int_Tables_number 1
_symmetry_space_group_name_Hall 'P 1'
_cell_length_a 5.143
_cell_length_b 5.143
_cell_length_c 5.143
_cell_angle_alpha 144.25
_cell_angle_beta 144.25
_cell_angle_gamma 51.46
loop_
_atom_site_label
_atom_site_type_symbol
_atom_site_fract_x
_atom_site_fract_y
_atom_site_fract_z
Ru1 Ru 0.615 0.615 0.000
Be1 Be 0.043 0.043 0.000
Br1 Br 0.342 0.342 0.000
```

=====

[4]
VASP calculation (PBE-GGA) on a relaxed structure of Fe3SbCl.

Formation energy without anion corrections: 5.487 eV per formula unit
E above lowest polymorph: 172.3 kJ/mol of formula units

Cell and atoms, written as CIF:
```
data_Fe3SbCl
_chemical_formula_sum 'Fe3 Sb1 Cl1'
_symmetry_space_group_name_H-M 'P 1'
_symmetry_Int_Tables_number 1
_symmetry_space_group_name_Hall 'P 1'
_cell_length_a 4.989
_cell_length_b 4.989
_cell_length_c 4.989
_cell_angle_alpha 90.00
_cell_angle_beta 90.00
_cell_angle_gamma 90.00
loop_
_atom_site_label
_atom_site_type_symbol
_atom_site_fract_x
_atom_site_fract_y
_atom_site_fract_z
Fe1 Fe 0.000 0.500 0.000
Fe2 Fe 0.000 0.000 0.500
Fe3 Fe 0.500 0.000 0.000
Sb1 Sb 0.000 0.000 0.000
Cl1 Cl 0.500 0.500 0.500
```

=====

[5]
VASP calculation (PBE-GGA) on a relaxed structure of LaP12Os4.

Formation energy: -10.562 eV per formula unit

Cell and atoms, written as CIF:
```
data_LaP12Os4
_chemical_formula_sum 'La1 P12 Os4'
_symmetry_space_group_name_H-M 'P 1'
_symmetry_Int_Tables_number 1
_symmetry_space_group_name_Hall 'P 1'
_cell_length_a 7.042
_cell_length_b 7.042
_cell_length_c 7.042
_cell_angle_alpha 109.47
_cell_angle_beta 109.47
_cell_angle_gamma 109.47
loop_
_atom_site_label
_atom_site_type_symbol
_atom_site_fract_x
_atom_site_fract_y
_atom_site_fract_z
Os1 Os 0.000 0.000 0.500
Os2 Os 0.500 0.500 0.500
Os3 Os 0.500 0.000 0.000
Os4 Os 0.000 0.500 0.000
P1 P 0.642 0.499 0.856
P2 P 0.358 0.501 0.144
P3 P 0.499 0.856 0.642
P4 P 0.501 0.144 0.358
P5 P 0.144 0.642 0.786
P6 P 0.144 0.358 0.501
P7 P 0.856 0.642 0.499
P8 P 0.786 0.144 0.642
P9 P 0.856 0.358 0.214
P10 P 0.358 0.214 0.856
P11 P 0.214 0.856 0.358
P12 P 0.642 0.786 0.144
La1 La 0.000 0.000 0.000
```

=====

[6]
VASP calculation (PBE-GGA) on a relaxed structure of ScTi2NbC.

Formation energy: -1.142 eV per formula unit

Cell and atoms, written as CIF:
```
data_ScTi2NbC
_chemical_formula_sum 'Sc1 Ti2 Nb1 C1'
_symmetry_space_group_name_H-M 'P 1'
_symmetry_Int_Tables_number 1
_symmetry_space_group_name_Hall 'P 1'
_cell_length_a 4.259
_cell_length_b 4.259
_cell_length_c 4.489
_cell_angle_alpha 90.00
_cell_angle_beta 90.00
_cell_angle_gamma 90.00
loop_
_atom_site_label
_atom_site_type_symbol
_atom_site_fract_x
_atom_site_fract_y
_atom_site_fract_z
Nb1 Nb 0.000 0.000 0.500
Sc1 Sc 0.500 0.500 0.500
Ti1 Ti 0.500 0.000 0.000
Ti2 Ti 0.000 0.500 0.000
C1 C 0.000 0.000 0.000
```

=====

[7]
VASP calculation (PBE-GGA) on a relaxed structure of Na2Hf2Te6Pb.

Formation energy without anion corrections: -8.614 eV per formula unit

Cell and atoms, written as CIF:
```
data_Na2Hf2Te6Pb
_chemical_formula_sum 'Na2 Hf2 Te6 Pb1'
_symmetry_space_group_name_H-M 'P 1'
_symmetry_Int_Tables_number 1
_symmetry_space_group_name_Hall 'P 1'
_cell_length_a 7.507
_cell_length_b 7.507
_cell_length_c 7.911
_cell_angle_alpha 98.40
_cell_angle_beta 98.40
_cell_angle_gamma 120.90
loop_
_atom_site_label
_atom_site_type_symbol
_atom_site_fract_x
_atom_site_fract_y
_atom_site_fract_z
Te1 Te 0.699 0.699 0.726
Te2 Te 0.301 0.301 0.274
Te3 Te 0.565 0.932 0.276
Te4 Te 0.435 0.068 0.724
Te5 Te 0.068 0.435 0.724
Te6 Te 0.932 0.565 0.276
Pb1 Pb 0.000 0.000 0.500
Hf1 Hf 0.333 0.667 0.500
Hf2 Hf 0.667 0.333 0.500
Na1 Na 0.152 0.848 0.000
Na2 Na 0.848 0.152 0.000
```

=====

[8]
VASP calculation (PBE-GGA) on a relaxed structure of RbLaV2Cr.

Formation energy: 13.422 eV per formula unit

Cell and atoms, written as CIF:
```
data_RbLaV2Cr
_chemical_formula_sum 'Rb1 La1 V2 Cr1'
_symmetry_space_group_name_H-M 'P 1'
_symmetry_Int_Tables_number 1
_symmetry_space_group_name_Hall 'P 1'
_cell_length_a 4.726
_cell_length_b 5.458
_cell_length_c 4.726
_cell_angle_alpha 90.00
_cell_angle_beta 90.00
_cell_angle_gamma 90.00
loop_
_atom_site_label
_atom_site_type_symbol
_atom_site_fract_x
_atom_site_fract_y
_atom_site_fract_z
V1 V 0.500 0.000 0.000
V2 V 0.000 0.000 0.500
Rb1 Rb 0.000 0.000 0.000
Cr1 Cr 0.500 0.500 0.500
La1 La 0.000 0.500 0.000
```

=====

[9]
VASP calculation (PBE-GGA) on a relaxed structure of Pr5ThSn3.

Formation energy: -4.897 eV per formula unit

Cell and atoms, written as CIF:
```
data_Pr5ThSn3
_chemical_formula_sum 'Pr10 Th2 Sn6'
_symmetry_space_group_name_H-M 'P 1'
_symmetry_Int_Tables_number 1
_symmetry_space_group_name_Hall 'P 1'
_cell_length_a 6.744
_cell_length_b 9.738
_cell_length_c 9.738
_cell_angle_alpha 120.00
_cell_angle_beta 90.00
_cell_angle_gamma 90.00
loop_
_atom_site_label
_atom_site_type_symbol
_atom_site_fract_x
_atom_site_fract_y
_atom_site_fract_z
Sn1 Sn 0.250 0.668 0.668
Sn2 Sn 0.250 0.332 0.000
Sn3 Sn 0.750 0.668 0.000
Sn4 Sn 0.750 0.000 0.668
Sn5 Sn 0.750 0.332 0.332
Sn6 Sn 0.250 0.000 0.332
Pr1 Pr 0.000 0.333 0.667
Pr2 Pr 0.750 0.669 0.669
Pr3 Pr 0.000 0.667 0.333
Pr4 Pr 0.250 0.669 0.000
Pr5 Pr 0.250 0.000 0.669
Pr6 Pr 0.500 0.667 0.333
Pr7 Pr 0.750 0.331 0.000
Pr8 Pr 0.750 0.000 0.331
Pr9 Pr 0.500 0.333 0.667
Pr10 Pr 0.250 0.331 0.331
Th1 Th 0.500 0.000 0.000
Th2 Th 0.000 0.000 0.000
```

=====

[10]
VASP calculation (PBE-GGA) on a relaxed structure of Rb2InOsO.

Formation energy without anion corrections: 0.749 eV per formula unit

Cell and atoms, written as CIF:
```
data_Rb2InOsO
_chemical_formula_sum 'Rb2 In1 Os1 O1'
_symmetry_space_group_name_H-M 'P 1'
_symmetry_Int_Tables_number 1
_symmetry_space_group_name_Hall 'P 1'
_cell_length_a 6.946
_cell_length_b 3.692
_cell_length_c 6.946
_cell_angle_alpha 90.00
_cell_angle_beta 90.00
_cell_angle_gamma 90.00
loop_
_atom_site_label
_atom_site_type_symbol
_atom_site_fract_x
_atom_site_fract_y
_atom_site_fract_z
Os1 Os 0.000 0.000 0.000
Rb1 Rb 0.000 0.000 0.500
Rb2 Rb 0.500 0.000 0.000
O1 O 0.000 0.500 0.000
In1 In 0.500 0.500 0.500
```